# GdSi2Ir PBE-GGA optimized geometry
# * total energy: -6.653 eV per atom
# * V: 149.29 Å³/cell
# * crystal system: orthorhombic
data_GdSi2Ir
_cell_length_a 4.3621
_cell_length_b 4.5418
_cell_length_c 7.5355
_cell_angle_alpha 90.00
_cell_angle_beta 90.00
_cell_angle_gamma 90.00
_space_group_name_H-M_alt 'P m c 21'
_space_group_IT_number 26
loop_
_space_group_symop_operation_xyz
'x,y,z'
'-x,-y,z+1/2'
'-x,y,z'
'x,-y,z+1/2'
loop_
_atom_site_label
_atom_site_type_symbol
_atom_site_fract_x
_atom_site_fract_y
_atom_site_fract_z
Gd1 Gd 0.0000 0.0599 0.0000
Si1 Si 0.0000 0.4798 0.2665
Si2 Si 0.5000 0.2204 0.7038
Ir1 Ir 0.5000 0.2893 0.3510

# GdSiIr PBE-GGA optimized geometry
# * total energy: -6.002 eV per atom
# * V: 275.95 Å³/cell
# * crystal system: cubic
data_GdSiIr
_cell_length_a 6.5104
_cell_length_b 6.5104
_cell_length_c 6.5104
_cell_angle_alpha 90.00
_cell_angle_beta 90.00
_cell_angle_gamma 90.00
_space_group_name_H-M_alt 'F -4 3 m'
_space_group_IT_number 216
_space_group_name_Hall 'F -4 2 3'
loop_
_atom_site_label
_atom_site_type_symbol
_atom_site_fract_x
_atom_site_fract_y
_atom_site_fract_z
Gd1 Gd 0.0000 0.0000 0.0000
Si1 Si 0.2500 0.2500 0.2500
Ir1 Ir 0.2500 0.2500 0.7500

# TbGdSi2Ir PBE-GGA optimized geometry
# * total energy: -6.743 eV per atom
# * V: 405.30 Å³/cell
# * crystal system: monoclinic
data_TbGdSi2Ir
_cell_length_a 10.5105
_cell_length_b 4.2645
_cell_length_c 10.2167
_cell_angle_alpha 90.00
_cell_angle_beta 117.74
_cell_angle_gamma 90.00
_space_group_name_H-M_alt 'C 1 2/m 1'
_space_group_IT_number 12
loop_
_space_group_symop_operation_xyz
'x,y,z'
'-x,-y,-z'
'-x,y,-z'
'x,-y,z'
'x+1/2,y+1/2,z'
'-x+1/2,-y+1/2,-z'
'-x+1/2,y+1/2,-z'
'x+1/2,-y+1/2,z'
loop_
_atom_site_label
_atom_site_type_symbol
_atom_site_fract_x
_atom_site_fract_y
_atom_site_fract_z
Tb1 Tb 0.1904 0.0000 0.1139
Gd1 Gd 0.0050 0.0000 0.3271
Si1 Si 0.0111 0.5000 0.8848
Si2 Si 0.1498 0.5000 0.5552
Ir1 Ir 0.2283 0.5000 0.3423

# TbGdSi2Ir4 PBE-GGA optimized geometry
# * total energy: -7.747 eV per atom
# * V: 274.98 Å³/cell
# * crystal system: orthorhombic
data_TbGdSi2Ir4
_cell_length_a 7.0419
_cell_length_b 3.8241
_cell_length_c 10.2113
_cell_angle_alpha 90.00
_cell_angle_beta 90.00
_cell_angle_gamma 90.00
_space_group_name_H-M_alt 'A m m 2'
_space_group_IT_number 38
loop_
_space_group_symop_operation_xyz
'x,y,z'
'-x,-y,z'
'-x,y,z'
'x,-y,z'
'x,y+1/2,z+1/2'
'-x,-y+1/2,z+1/2'
'-x,y+1/2,z+1/2'
'x,-y+1/2,z+1/2'
loop_
_atom_site_label
_atom_site_type_symbol
_atom_site_fract_x
_atom_site_fract_y
_atom_site_fract_z
Tb1 Tb 0.0000 0.0000 0.0000
Gd1 Gd 0.5000 0.0000 0.8851
Si1 Si 0.0000 0.0000 0.7198
Si2 Si 0.5000 0.0000 0.1651
Ir1 Ir 0.2001 0.0000 0.2955
Ir2 Ir 0.2992 0.0000 0.5898